The following is a DFT calculation (PBE) of an optimized crystal structure of Na2AlZnCl.

a b c (Å): 5.0275 5.8312 5.0275
angles (deg): 90.00 90.00 90.00
Fractional coordinates of all 5 atoms:
Cl (0.0000, 0.0000, 0.0000)
Na (0.5000, 0.0000, 0.0000)
Al (0.5000, 0.5000, 0.5000)
Zn (0.0000, 0.5000, 0.0000)
Na (0.0000, 0.0000, 0.5000)

Properties
The mass density is 2.0 g cm⁻³. The volume comes out at 29.5 A^3/atom. The formation energy from raw total energies comes out at -99 meV/atom. For the total moment, the calculation gives 0.000 μB/atom.

The following is a DFT calculation (PBE) of an optimized crystal structure of NbAlCl2.

a b c (Å): 4.6327 4.6327 4.6327
angles (deg): 60.00 60.00 60.00
Fractional coordinates of all 4 atoms:
Nb (0.5000, 0.5000, 0.5000)
Cl (0.2500, 0.2500, 0.2500)
Cl (0.7500, 0.7500, 0.7500)
Al (0.0000, 0.0000, 0.0000)

Properties
The mass density is 4.5 g cm⁻³. Its relative energy among the computed polymorphs is 0.670 eV per atom. The volume comes out at 17.6 A^3/atom. The formation energy from raw total energies comes out at 208 meV/atom. For the total moment, the calculation gives 0.000 μB/atom.

The following is a DFT calculation (PBE) of an optimized crystal structure of NbAlCl3.

a b c (Å): 4.8847 4.8847 4.8847
angles (deg): 90.00 90.00 90.00
Site moments in Bohr magnetons follow the coordinates.
Fractional coordinates of all 5 atoms:
Cl (0.5000, 0.0000, 0.0000)  0.00
Nb (0.5000, 0.5000, 0.5000)  3.15
Cl (0.0000, 0.5000, 0.0000)  0.00
Cl (0.0000, 0.0000, 0.5000)  0.01
Al (0.0000, 0.0000, 0.0000)  0.00

Properties
The mass density is 3.2 g cm⁻³. Its relative energy among the computed polymorphs is 0.511 eV per atom. The volume comes out at 23.3 A^3/atom. The formation energy from raw total energies comes out at 119 meV/atom. For the total moment, the calculation gives 0.829 μB/atom.

The following is a DFT calculation (PBE) of an optimized crystal structure of NbAlCl2.

a b c (Å): 4.1883 4.1883 9.2206
angles (deg): 76.87 76.87 90.00
Fractional coordinates of all 8 atoms:
Al (0.5000, 0.5000, 0.0000)
Cl (0.3750, 0.3613, 0.7500)
Al (0.2500, 0.7500, 0.5000)
Nb (0.7500, 0.2500, 0.5000)
Nb (0.0000, 0.0000, 0.0000)
Cl (0.8750, 0.8887, 0.7500)
Cl (0.1113, 0.6250, 0.2500)
Cl (0.6387, 0.1250, 0.2500)

Properties
The mass density is 4.1 g cm⁻³. Its relative energy among the computed polymorphs is 0.389 eV per atom. The volume comes out at 19.1 A^3/atom. The formation energy from raw total energies comes out at -74 meV/atom. For the total moment, the calculation gives 0.000 μB/atom.

The following is a DFT calculation (PBE) of an optimized crystal structure of NbAl2Cl.

a b c (Å): 7.3325 7.3325 5.8709
angles (deg): 51.36 51.36 90.00
Fractional coordinates of all 8 atoms:
Nb (0.7500, 0.2500, 0.5000)
Al (0.3750, 0.3857, 0.7500)
Cl (0.5000, 0.5000, 0.0000)
Cl (0.2500, 0.7500, 0.5000)
Nb (0.0000, 0.0000, 0.0000)
Al (0.6143, 0.1250, 0.2500)
Al (0.1357, 0.6250, 0.2500)
Al (0.8750, 0.8643, 0.7500)

Properties
The mass density is 4.1 g cm⁻³. Its relative energy among the computed polymorphs is 0.000 eV per atom. The volume comes out at 18.5 A^3/atom. The formation energy from raw total energies comes out at 375 meV/atom. For the total moment, the calculation gives 0.000 μB/atom.

The following is a DFT calculation (PBE) of an optimized crystal structure of NbAl2Cl.

a b c (Å): 4.7297 4.7297 4.7297
angles (deg): 60.00 60.00 60.00
Fractional coordinates of all 4 atoms:
Al (0.7500, 0.7500, 0.7500)
Cl (0.0000, 0.0000, 0.0000)
Al (0.2500, 0.2500, 0.2500)
Nb (0.5000, 0.5000, 0.5000)

Properties
The mass density is 4.0 g cm⁻³. Its relative energy among the computed polymorphs is 0.178 eV per atom. The volume comes out at 18.7 A^3/atom. The formation energy from raw total energies comes out at 552 meV/atom. For the total moment, the calculation gives 0.000 μB/atom.

The following is a DFT calculation (PBE) of an optimized crystal structure of NbAlCl3.

a b c (Å): 5.1189 5.1189 5.1189
angles (deg): 90.00 90.00 90.00
Site moments in Bohr magnetons follow the coordinates.
Fractional coordinates of all 5 atoms:
Nb (0.0000, 0.0000, 0.0000)  2.28
Cl (0.5000, 0.0000, 0.0000)  0.06
Cl (0.0000, 0.5000, 0.0000)  0.01
Cl (0.0000, 0.0000, 0.5000)  -0.02
Al (0.5000, 0.5000, 0.5000)  0.02

Properties
The mass density is 2.8 g cm⁻³. Its relative energy among the computed polymorphs is 0.000 eV per atom. The volume comes out at 26.8 A^3/atom. The formation energy from raw total energies comes out at -392 meV/atom. For the total moment, the calculation gives 0.600 μB/atom.

The following is a DFT calculation (PBE) of an optimized crystal structure of NbAlCl2.

a b c (Å): 9.6230 9.6230 9.6230
angles (deg): 18.88 18.88 18.88
Fractional coordinates of all 4 atoms:
Nb (0.5000, 0.5000, 0.5000)
Cl (0.1029, 0.1029, 0.1029)
Al (0.0000, 0.0000, 0.0000)
Cl (0.8971, 0.8971, 0.8971)

Properties
The mass density is 3.9 g cm⁻³. Its relative energy among the computed polymorphs is 0.000 eV per atom. The volume comes out at 20.4 A^3/atom. The formation energy from raw total energies comes out at -462 meV/atom. For the total moment, the calculation gives 0.000 μB/atom.